# ScSi2Au

A relaxed ScSi2Au crystal (PBE, Alexandria).

Summary:
Calculated volume ... 17.10 Å³/atom
Uncorrected formation energy ... -0.2591 eV/atom
Electronic total energy ... -5.37 eV/atom
Density ... 7.24 g/cm3

abc: 3.5033 3.5033 5.5716
angles: 90.00 90.00 90.00
With the nearest neighbours (Å) after each atom.
Space group P4mm (No. 99)
One atom of each set of equivalent atoms:
Sc (0.0000, 0.0000, 0.0000)  6 Si 2.64-2.93, 4 Au 2.95
Si (0.0000, 0.0000, 0.4734)  2 Sc 2.64-2.93, 4 Si 2.77, 4 Au 2.81
Si (0.5000, 0.5000, 0.2498)  1 Au 2.58, 4 Si 2.77, 4 Sc 2.84
Au (0.5000, 0.5000, 0.7124)  5 Si 2.58-2.81

---

# PmInSeS

A relaxed PmInSeS crystal (PBE, Alexandria).

Summary:
Calculated volume ... 29.57 Å³/atom
Uncorrected formation energy ... -1.3206 eV/atom
Electronic total energy ... -5.10 eV/atom
Density ... 5.21 g/cm3

abc: 4.1990 4.1990 23.2343
angles: 90.00 90.00 120.00
With the nearest neighbours (Å) after each atom.
Space group R3m (No. 160, hexagonal axes)
One atom of each set of equivalent atoms:
Pm (0.0000, 0.0000, 0.0000)  3 S 2.78, 3 Se 3.03
In (0.0000, 0.0000, 0.1698)  3 Se 3.13
Se (0.0000, 0.0000, 0.5885)  3 Pm 3.03, 3 In 3.13
S (0.0000, 0.0000, 0.3915)  3 Pm 2.78

---

# LuHfCoNi

A relaxed LuHfCoNi crystal (PBE, Alexandria).

Summary:
Calculated volume ... 16.68 Å³/atom
Electronic total energy ... -7.21 eV/atom
Calculated formation energy ... -0.3692 eV/atom
Density ... 11.73 g/cm3

abc: 6.4377 6.4377 6.4377
angles: 90.00 90.00 90.00
With the nearest neighbours (Å) after each atom.
Space group F-43m (No. 216)
One atom of each set of equivalent atoms:
Lu (0.0000, 0.0000, 0.0000)  4 Co 2.79, 4 Ni 2.79
Hf (0.0000, 0.0000, 0.5000)  4 Co 2.79, 4 Ni 2.79
Co (0.2500, 0.2500, 0.7500)  4 Lu 2.79, 4 Hf 2.79
Ni (0.2500, 0.2500, 0.2500)  4 Hf 2.79, 4 Lu 2.79

---

# Cs2MnI

A relaxed Cs2MnI crystal (PBE, Alexandria).

Summary:
Calculated volume ... 52.49 Å³/atom
Uncorrected formation energy ... 0.0203 eV/atom
Electronic total energy ... -3.09 eV/atom
Density ... 3.54 g/cm3

abc: 9.4347 9.4347 9.4347
angles: 90.00 90.00 90.00
With the nearest neighbours (Å) after each atom.
Space group Fm-3m (No. 225)
One atom of each set of equivalent atoms:
Cs (0.2500, 0.2500, 0.2500)  4 Mn 4.09, 4 I 4.09
Mn (0.0000, 0.0000, 0.0000)  8 Cs 4.09
I (0.0000, 0.0000, 0.5000)  8 Cs 4.09

---

# Y2VCl

A relaxed Y2VCl crystal (PBE, Alexandria).

Summary:
Calculated volume ... 26.08 Å³/atom
Relative energy among the computed polymorphs ... 0.000 eV per atom
Uncorrected formation energy ... 0.0392 eV/atom
Electronic total energy ... -5.93 eV/atom
Density ... 4.21 g/cm3

abc: 7.7874 7.7874 6.8812
angles: 90.00 90.00 90.00
With the nearest neighbours (Å) after each atom.
Space group I-42d (No. 122)
One atom of each set of equivalent atoms:
Y (0.2092, 0.2500, 0.1250)  2 Cl 2.68
V (0.0000, 0.0000, 0.5000)  4 Y 3.11, 2 Cl 3.44
Cl (0.0000, 0.0000, 0.0000)  4 Y 2.68

---

# CeTm

A relaxed CeTm crystal (PBE, Alexandria).

Summary:
Calculated volume ... 30.80 Å³/atom
Relative energy among the computed polymorphs ... 0.128 eV per atom
Electronic total energy ... -5.00 eV/atom
Calculated formation energy ... 0.1982 eV/atom
Density ... 8.33 g/cm3

abc: 3.9493 3.9493 3.9493
angles: 90.00 90.00 90.00
With the nearest neighbours (Å) after each atom.
Space group Pm-3m (No. 221)
One atom of each set of equivalent atoms:
Ce (0.0000, 0.0000, 0.0000)  8 Tm 3.42
Tm (0.5000, 0.5000, 0.5000)  8 Ce 3.42